1.
{"formula": "YCoSe2", "functional": "SCAN", "state": "single point on PBEsol structure", "cell": [[-0.5036, -3.1716, -2.2946], [2.7141, -2.8653, -0.0296], [-2.0152, -4.6631, 3.4933]], "species": ["Co", "Se", "Se", "Y"], "frac_coords": [[0.0000, 0.0000, 0.0000], [0.2635, 0.2635, 0.2096], [0.7365, 0.7365, 0.7904], [0.5000, 0.5000, 0.5000]], "raw_formation_energy_mev_per_atom": -1243, "sg": "No. 166"}



2.
{"formula": "LiMgHg4", "functional": "SCAN", "state": "single point on PBEsol structure", "cell": [[-2.0561, 0.9126, -5.3161], [-4.4680, -3.0989, -1.9379], [-5.1543, 2.4998, -0.7114]], "species": ["Hg", "Hg", "Hg", "Hg", "Li", "Mg"], "frac_coords": [[0.3752, 0.3752, 0.3752], [0.3752, 0.3752, 0.8743], [0.8743, 0.3752, 0.3752], [0.3752, 0.8743, 0.3752], [0.7500, 0.7500, 0.7500], [0.0000, 0.0000, 0.0000]], "formation_enthalpy_0k_ev_per_atom": -0.0120, "sg": "No. 216"}



3.
{"formula": "Re2NiW", "functional": "SCAN", "state": "single point on PBEsol structure", "cell": [[3.8051, 0.0000, 0.0000], [0.0000, 3.8051, 0.0000], [0.0000, 0.0000, 3.8220]], "species": ["Re", "Re", "W", "Ni"], "frac_coords": [[0.0000, 0.5000, 0.0000], [0.5000, 0.0000, 0.0000], [0.5000, 0.5000, 0.5000], [0.0000, 0.0000, 0.5000]], "formation_enthalpy_0k_ev_per_atom": -0.0045, "sg": "No. 123"}